Entry 1:
The following is a PBE calculation of an optimized crystal structure of AcSmDy6Tm2, from Alexandria via LeMat-Bulk.

Unit cell a=8.8787 b=8.8787 c=9.5239 alpha=92.56 beta=92.56 gamma=117.21
Fractional positions:
Ac (0.0330, 0.9670, 0.7500)
Ac (0.9670, 0.0330, 0.2500)
Sm (0.4112, 0.5888, 0.2500)
Sm (0.5888, 0.4112, 0.7500)
Dy (0.0149, 0.5530, 0.6781)
Dy (0.1230, 0.7517, 0.0573)
Dy (0.2483, 0.8770, 0.4427)
Dy (0.2896, 0.5133, 0.8841)
Dy (0.4470, 0.9851, 0.8219)
Dy (0.4867, 0.7104, 0.6159)
Dy (0.5133, 0.2896, 0.3841)
Dy (0.5530, 0.0149, 0.1781)
Dy (0.7104, 0.4867, 0.1159)
Dy (0.7517, 0.1230, 0.5573)
Dy (0.8770, 0.2483, 0.9427)
Dy (0.9851, 0.4470, 0.3219)
Tm (0.2012, 0.3131, 0.5496)
Tm (0.3131, 0.2012, 0.0496)
Tm (0.6869, 0.7988, 0.9504)
Tm (0.7988, 0.6869, 0.4504)

Calculated values
Magnetization ... 0.00 μB per atom
Space-group type ... C2/c
Energy ... -0.162 hartree per atom



Entry 2:
The following is a PBE calculation of an optimized crystal structure of AcSmDyTm, from Alexandria via LeMat-Bulk.

Unit cell a=6.3808 b=3.6819 c=12.0520 alpha=90.00 beta=100.14 gamma=90.00
Fractional positions:
Ac (0.0000, 0.0000, 0.0000)
Ac (0.5000, 0.5000, 0.0000)
Sm (0.2440, 0.0000, 0.7331)
Sm (0.7440, 0.5000, 0.7331)
Dy (0.4191, 0.0000, 0.2604)
Dy (0.9191, 0.5000, 0.2604)
Tm (0.3318, 0.5000, 0.4955)
Tm (0.8318, 0.0000, 0.4955)

Calculated values
Energy above the lowest structure with this stoichiometry ... 0.00 eV per formula unit
Magnetization ... 0.00 μB per atom
Space-group type ... Cm



Entry 3:
The following is a PBE calculation of an optimized crystal structure of AcSm3DyTm, from Alexandria via LeMat-Bulk.

Unit cell a=11.8343 b=11.8343 c=7.0994 alpha=98.09 beta=98.09 gamma=26.61
Fractional positions:
Ac (0.1271, 0.1271, 0.4802)
Ac (0.8729, 0.8729, 0.5198)
Sm (0.0219, 0.0219, 0.7831)
Sm (0.2748, 0.2748, 0.6943)
Sm (0.3217, 0.3217, 0.2171)
Sm (0.6783, 0.6783, 0.7829)
Sm (0.7252, 0.7252, 0.3057)
Sm (0.9781, 0.9781, 0.2169)
Dy (0.4246, 0.4246, 0.8817)
Dy (0.5754, 0.5754, 0.1183)
Tm (0.1666, 0.1666, 0.0240)
Tm (0.8334, 0.8334, 0.9760)

Calculated values
Magnetization ... 0.00 μB per atom
Space-group type ... C2/m
Energy ... -0.160 hartree per atom



Entry 4:
The following is a PBE calculation of an optimized crystal structure of AcSm2Dy5Tm, from Alexandria via LeMat-Bulk.

Unit cell a=9.9284 b=9.9284 c=9.9284 alpha=126.87 beta=126.87 gamma=78.46
Fractional positions:
Ac (0.2500, 0.2500, 0.0000)
Ac (0.7500, 0.7500, 0.0000)
Sm (0.1156, 0.6156, 0.7311)
Sm (0.3844, 0.1156, 0.5000)
Sm (0.6156, 0.8844, 0.5000)
Sm (0.8844, 0.3844, 0.2689)
Dy (0.0000, 0.0000, 0.0000)
Dy (0.0739, 0.1630, 0.5000)
Dy (0.1630, 0.6630, 0.0891)
Dy (0.3370, 0.4261, 0.5000)
Dy (0.4261, 0.9261, 0.0891)
Dy (0.5000, 0.5000, 0.0000)
Dy (0.5739, 0.0739, 0.9109)
Dy (0.6630, 0.5739, 0.5000)
Dy (0.8370, 0.3370, 0.9109)
Dy (0.9261, 0.8370, 0.5000)
Tm (0.2500, 0.7500, 0.5000)
Tm (0.7500, 0.2500, 0.5000)

Calculated values
Magnetization ... 0.00 μB per atom
Space-group type ... I4/mcm
Energy ... -0.158 hartree per atom



Entry 5:
The following is a PBE calculation of an optimized crystal structure of AcSm2DyTm4, from Alexandria via LeMat-Bulk.

Unit cell a=5.1070 b=5.1336 c=9.9931 alpha=90.00 beta=90.01 gamma=90.00
Fractional positions:
Ac (0.0000, 0.0000, 0.0000)
Sm (0.0000, 0.0000, 0.5000)
Sm (0.5000, 0.5000, 0.0000)
Dy (0.5000, 0.5000, 0.5000)
Tm (0.0011, 0.5000, 0.2583)
Tm (0.5001, 0.0000, 0.2583)
Tm (0.4999, 0.0000, 0.7417)
Tm (0.9989, 0.5000, 0.7417)

Calculated values
Magnetization ... 0.00 μB per atom
Space-group type ... P2/m
Energy ... -0.164 hartree per atom



Entry 6:
The following is a PBE calculation of an optimized crystal structure of AcSmDyY, from Alexandria via LeMat-Bulk.

Unit cell a=3.5297 b=5.7922 c=7.0213 alpha=90.00 beta=90.00 gamma=90.00
Fractional positions:
Ac (0.0000, 0.0000, 0.0000)
Sm (0.0000, 0.5000, 0.2821)
Dy (0.5000, 0.5000, 0.7429)
Y (0.0000, 0.0000, 0.5159)

Calculated values
Energy above the lowest structure with this stoichiometry ... 0.41 eV per formula unit
Magnetization ... 0.00 μB per atom
Space-group type ... Pmm2



Entry 7:
The following is a PBE calculation of an optimized crystal structure of AcSmDyY, from Alexandria via LeMat-Bulk.

Unit cell a=8.2965 b=8.2965 c=8.2965 alpha=90.00 beta=90.00 gamma=90.00
Fractional positions:
Ac (0.0000, 0.0000, 0.0000)
Ac (0.0000, 0.5000, 0.5000)
Ac (0.5000, 0.0000, 0.5000)
Ac (0.5000, 0.5000, 0.0000)
Sm (0.0000, 0.0000, 0.5000)
Sm (0.0000, 0.5000, 0.0000)
Sm (0.5000, 0.0000, 0.0000)
Sm (0.5000, 0.5000, 0.5000)
Dy (0.2500, 0.2500, 0.2500)
Dy (0.2500, 0.7500, 0.7500)
Dy (0.7500, 0.2500, 0.7500)
Dy (0.7500, 0.7500, 0.2500)
Y (0.2500, 0.2500, 0.7500)
Y (0.2500, 0.7500, 0.2500)
Y (0.7500, 0.2500, 0.2500)
Y (0.7500, 0.7500, 0.7500)

Calculated values
Energy above the lowest structure with this stoichiometry ... 0.00 eV per formula unit
Magnetization ... 0.00 μB per atom
Space-group type ... F-43m



Entry 8:
The following is a PBE calculation of an optimized crystal structure of AcSmDy2Y2, from Alexandria via LeMat-Bulk.

Unit cell a=7.0724 b=16.3253 c=3.6256 alpha=90.00 beta=90.00 gamma=90.00
Fractional positions:
Ac (0.0000, 0.0000, 0.0000)
Ac (0.5000, 0.5000, 0.5000)
Sm (0.0000, 0.5000, 0.5000)
Sm (0.5000, 0.0000, 0.0000)
Dy (0.2446, 0.3437, 0.0000)
Dy (0.2554, 0.8437, 0.5000)
Dy (0.7446, 0.1563, 0.5000)
Dy (0.7554, 0.6563, 0.0000)
Y (0.2493, 0.1616, 0.5000)
Y (0.2507, 0.6616, 0.0000)
Y (0.7493, 0.3384, 0.0000)
Y (0.7507, 0.8384, 0.5000)

Calculated values
Magnetization ... 0.00 μB per atom
Space-group type ... Pnnm
Energy ... -0.183 hartree per atom



Entry 9:
The following is a PBE calculation of an optimized crystal structure of AcSmDy3Y, from Alexandria via LeMat-Bulk.

Unit cell a=5.7659 b=7.0692 c=9.9888 alpha=89.99 beta=89.99 gamma=89.98
Fractional positions:
Ac (0.2500, 0.9996, 0.2487)
Ac (0.7500, 0.0004, 0.7513)
Sm (0.2499, 0.4999, 0.2492)
Sm (0.7501, 0.5001, 0.7508)
Dy (0.2484, 0.2568, 0.9175)
Dy (0.2486, 0.7437, 0.5843)
Dy (0.2516, 0.7434, 0.9165)
Dy (0.7484, 0.2566, 0.0835)
Dy (0.7514, 0.2563, 0.4157)
Dy (0.7516, 0.7432, 0.0825)
Y (0.2514, 0.2560, 0.5830)
Y (0.7486, 0.7440, 0.4170)

Calculated values
Magnetization ... 0.00 μB per atom
Space-group type ... P-1
Energy ... -0.175 hartree per atom



Entry 10:
The following is a PBE calculation of an optimized crystal structure of AcSm6Dy3Y2, from Alexandria via LeMat-Bulk.

Unit cell a=6.2825 b=6.2825 c=12.0368 alpha=94.99 beta=94.99 gamma=119.98
Fractional positions:
Ac (0.0000, 0.0000, 0.0000)
Sm (0.0858, 0.4216, 0.2552)
Sm (0.2500, 0.2500, 0.7445)
Sm (0.4216, 0.0858, 0.2552)
Sm (0.5784, 0.9142, 0.7448)
Sm (0.7500, 0.7500, 0.2555)
Sm (0.9142, 0.5784, 0.7448)
Dy (0.1672, 0.8328, 0.5000)
Dy (0.5000, 0.5000, 0.5000)
Dy (0.8328, 0.1672, 0.5000)
Y (0.3334, 0.6666, 0.0000)
Y (0.6666, 0.3334, 0.0000)

Calculated values
Magnetization ... 0.00 μB per atom
Space-group type ... C2/m
Energy ... -0.180 hartree per atom



Entry 11:
The following is a PBE calculation of an optimized crystal structure of AcSm2Dy2Y2, from Alexandria via LeMat-Bulk.

Unit cell a=11.4613 b=5.1551 c=8.1693 alpha=90.00 beta=98.09 gamma=90.00
Fractional positions:
Ac (0.0000, 0.0000, 0.0000)
Ac (0.5000, 0.5000, 0.0000)
Sm (0.0736, 0.5000, 0.7082)
Sm (0.4264, 0.0000, 0.2918)
Sm (0.5736, 0.0000, 0.7082)
Sm (0.9264, 0.5000, 0.2918)
Dy (0.1427, 0.0000, 0.4337)
Dy (0.3573, 0.5000, 0.5663)
Dy (0.6427, 0.5000, 0.4337)
Dy (0.8573, 0.0000, 0.5663)
Y (0.2147, 0.5000, 0.1506)
Y (0.2853, 0.0000, 0.8494)
Y (0.7147, 0.0000, 0.1506)
Y (0.7853, 0.5000, 0.8494)

Calculated values
Magnetization ... 0.00 μB per atom
Space-group type ... C2/m
Energy ... -0.186 hartree per atom



Entry 12:
The following is a PBE calculation of an optimized crystal structure of AcSmDy6Y2, from Alexandria via LeMat-Bulk.

Unit cell a=8.9273 b=8.9273 c=9.4902 alpha=92.19 beta=92.19 gamma=116.62
Fractional positions:
Ac (0.0382, 0.9618, 0.7500)
Ac (0.9618, 0.0382, 0.2500)
Sm (0.4116, 0.5884, 0.2500)
Sm (0.5884, 0.4116, 0.7500)
Dy (0.0101, 0.5493, 0.6785)
Dy (0.1200, 0.7554, 0.0594)
Dy (0.2446, 0.8800, 0.4406)
Dy (0.2893, 0.5214, 0.8866)
Dy (0.4507, 0.9899, 0.8215)
Dy (0.4786, 0.7107, 0.6134)
Dy (0.5214, 0.2893, 0.3866)
Dy (0.5493, 0.0101, 0.1785)
Dy (0.7107, 0.4786, 0.1134)
Dy (0.7554, 0.1200, 0.5594)
Dy (0.8800, 0.2446, 0.9406)
Dy (0.9899, 0.4507, 0.3215)
Y (0.2031, 0.3102, 0.5523)
Y (0.3102, 0.2031, 0.0523)
Y (0.6898, 0.7969, 0.9477)
Y (0.7969, 0.6898, 0.4477)

Calculated values
Magnetization ... 0.00 μB per atom
Space-group type ... C2/c
Energy ... -0.177 hartree per atom